1.
ScFeCuBi: optimized geometry, PBE.

## Properties
Its space group is F-43m (216). The value obtained for the relative energy among the computed polymorphs is 58 meV/atom.

Unit cell a=4.572 b=4.572 c=4.572 alpha=60.00 beta=60.00 gamma=60.00
Last column: magnetic moment on the atom in μB.
Fractional positions:
1 Cu 0.750 0.750 0.750  0.00
2 Fe 0.000 0.000 0.000  2.20
3 Sc 0.500 0.500 0.500  -0.14
4 Bi 0.250 0.250 0.250  -0.02



2.
ScFeCuBi: optimized geometry, PBE.

## Properties
Its space group is F-43m (216). The value obtained for the relative energy among the computed polymorphs is 0 meV/atom.

Unit cell a=4.608 b=4.608 c=4.608 alpha=60.00 beta=60.00 gamma=60.00
Last column: magnetic moment on the atom in μB.
Fractional positions:
1 Cu 0.250 0.250 0.250  0.03
2 Bi 0.000 0.000 0.000  0.00
3 Fe 0.750 0.750 0.750  1.85
4 Sc 0.500 0.500 0.500  -0.25



3.
FeCuSiBi: optimized geometry, PBE.

## Properties
Its space group is F-43m (216). The value obtained for the relative energy among the computed polymorphs is 138 meV/atom.

Unit cell a=4.626 b=4.626 c=4.626 alpha=60.00 beta=60.00 gamma=60.00
Fractional positions:
1 Fe 0.500 0.500 0.500
2 Si 0.250 0.250 0.250
3 Bi 0.000 0.000 0.000
4 Cu 0.750 0.750 0.750



4.
FeCuSiBi: optimized geometry, PBE.

## Properties
Its space group is F-43m (216). The value obtained for the relative energy among the computed polymorphs is 0 meV/atom.

Unit cell a=4.565 b=4.565 c=4.565 alpha=60.00 beta=60.00 gamma=60.00
Fractional positions:
1 Cu 0.750 0.750 0.750
2 Si 0.000 0.000 0.000
3 Bi 0.500 0.500 0.500
4 Fe 0.250 0.250 0.250



5.
FeCuSnBi: optimized geometry, PBE.

## Properties
Its space group is F-43m (216). The value obtained for the relative energy among the computed polymorphs is 0 meV/atom.

Unit cell a=4.807 b=4.807 c=4.807 alpha=60.00 beta=60.00 gamma=60.00
Fractional positions:
1 Cu 0.750 0.750 0.750
2 Bi 0.500 0.500 0.500
3 Sn 0.000 0.000 0.000
4 Fe 0.250 0.250 0.250



6.
Ga2CuBi: optimized geometry, PBE.

## Properties
Its space group is F-43m (216). The electronic total energy comes out at -13.031 eV per formula unit.

Unit cell a=4.898 b=4.898 c=4.898 alpha=60.00 beta=60.00 gamma=60.00
Fractional positions:
1 Ga 0.750 0.750 0.750
2 Ga 0.000 0.000 0.000
3 Cu 0.250 0.250 0.250
4 Bi 0.500 0.500 0.500



7.
GaCuBiIr: optimized geometry, PBE.

## Properties
Its space group is F-43m (216). The value obtained for the relative energy among the computed polymorphs is 0 meV/atom.

Unit cell a=4.636 b=4.636 c=4.636 alpha=60.00 beta=60.00 gamma=60.00
Fractional positions:
1 Cu 0.750 0.750 0.750
2 Bi 0.500 0.500 0.500
3 Ir 0.250 0.250 0.250
4 Ga 0.000 0.000 0.000



8.
GaCuBiIr: optimized geometry, PBE.

## Properties
Its space group is F-43m (216). The value obtained for the relative energy among the computed polymorphs is 107 meV/atom.

Unit cell a=4.651 b=4.651 c=4.651 alpha=60.00 beta=60.00 gamma=60.00
Fractional positions:
1 Bi 0.000 0.000 0.000
2 Cu 0.750 0.750 0.750
3 Ga 0.250 0.250 0.250
4 Ir 0.500 0.500 0.500



9.
GdHoCu2Bi4: optimized geometry, PBE.

## Properties
Its space group is P4mm (99). The electronic total energy comes out at -36.190 eV per formula unit.

Unit cell a=4.544 b=4.544 c=9.634 alpha=90.00 beta=90.00 gamma=90.00
Fractional positions:
1 Ho 0.500 0.500 0.765
2 Cu 0.000 0.500 0.998
3 Cu 0.500 0.000 0.998
4 Bi 0.500 0.500 0.166
5 Bi 0.500 0.000 0.502
6 Bi 0.000 0.000 0.831
7 Bi 0.000 0.500 0.502
8 Gd 0.000 0.000 0.237



10.
LaGdCu2Bi2Sb2: optimized geometry, PBE.

## Properties
Its space group is P4mm (99). The electronic total energy comes out at -38.329 eV per formula unit.

Unit cell a=4.483 b=4.483 c=10.033 alpha=90.00 beta=90.00 gamma=90.00
Fractional positions:
1 Sb 0.500 0.500 0.845
2 La 0.500 0.500 0.238
3 Sb 0.000 0.000 0.146
4 Bi 0.000 0.500 0.508
5 Bi 0.500 0.000 0.508
6 Cu 0.500 0.000 0.994
7 Gd 0.000 0.000 0.766
8 Cu 0.000 0.500 0.994



11.
NdGdCu2Bi2Sb2: optimized geometry, PBE.

## Properties
Its space group is P4mm (99). The electronic total energy comes out at -37.893 eV per formula unit.

Unit cell a=4.462 b=4.462 c=9.939 alpha=90.00 beta=90.00 gamma=90.00
Fractional positions:
1 Cu 0.000 0.500 0.997
2 Gd 0.500 0.500 0.764
3 Bi 0.500 0.000 0.505
4 Bi 0.000 0.500 0.505
5 Cu 0.500 0.000 0.997
6 Sb 0.000 0.000 0.844
7 Sb 0.500 0.500 0.151
8 Nd 0.000 0.000 0.239



12.
PrGdCu2Bi4: optimized geometry, PBE.

## Properties
Its space group is P4mm (99). The electronic total energy comes out at -36.813 eV per formula unit.

Unit cell a=4.566 b=4.566 c=9.875 alpha=90.00 beta=90.00 gamma=90.00
Fractional positions:
1 Bi 0.000 0.500 0.494
2 Cu 0.500 0.000 0.005
3 Gd 0.000 0.000 0.234
4 Cu 0.000 0.500 0.005
5 Pr 0.500 0.500 0.762
6 Bi 0.500 0.000 0.494
7 Bi 0.500 0.500 0.165
8 Bi 0.000 0.000 0.842